DFT (PBE-GGA) results for an optimized crystal structure of Tm2Mg5Cd4.

The structure in POSCAR format:
```
Tm2Mg5Cd4
1.0
0.0000 5.6314 8.4018
2.9981 0.0000 8.4018
2.9981 5.6314 0.0000
Tm Mg Cd
2 5 4
Cartesian
2.9981 5.6314 2.9788
2.9981 5.6314 13.8249
1.4991 2.8157 0.0000
1.4991 2.8157 4.2009
1.4991 2.8157 8.4018
2.9981 5.6314 8.4018
4.4972 8.4470 12.6028
2.9981 4.1672 6.0853
2.9981 7.0955 6.0853
2.9981 4.1672 10.7184
2.9981 7.0955 10.7184
```

Summary:
space-group type	No. 69
total magnetization	0.000	μB per atom
DOS(E_F)	6.350	states/eV/f.u.
formation energy from the elements	27	meV per atom